No. 1
Cs4Pu3AlO8: optimized geometry, PBE-GGA.

Unit cell a=7.9639 b=7.9639 c=7.9639 alpha=52.46 beta=52.46 gamma=52.46
Last column: nearest neighbours and their distance in Å.
Positions (direct):
Cs: 0.0000 0.0000 0.0000  6 O 3.27, 6 Cs 3.52
Cs: 0.0000 0.5000 0.5000  6 O 3.07-3.08
Cs: 0.5000 0.0000 0.5000  6 O 3.07-3.08
Cs: 0.5000 0.5000 0.0000  6 O 3.07-3.08
Pu: 0.0000 0.0000 0.5000  6 O 2.31-2.39
Pu: 0.0000 0.5000 0.0000  6 O 2.31-2.39
Pu: 0.5000 0.0000 0.0000  6 O 2.31-2.39
Al: 0.5000 0.5000 0.5000  6 O 2.10
O: 0.2204 0.2204 0.2204  3 Pu 2.31
O: 0.2525 0.7002 0.7002  1 Al 2.10
O: 0.2998 0.2998 0.7475  1 Al 2.10
O: 0.2998 0.7475 0.2998  1 Al 2.10
O: 0.7002 0.2525 0.7002  1 Al 2.10
O: 0.7002 0.7002 0.2525  1 Al 2.10
O: 0.7475 0.2998 0.2998  1 Al 2.10
O: 0.7796 0.7796 0.7796  3 Pu 2.31

* DOS(E_F): 1.21 states/eV per atom
* space group: R-3m
* raw formation energy: -34.15 eV/f.u.



No. 2
CsAlReO6: optimized geometry, PBE-GGA.

Unit cell a=5.2738 b=5.2738 c=6.5403 alpha=90.60 beta=90.60 gamma=121.34
Last column: nearest neighbours and their distance in Å.
Positions (direct):
Cs: 0.0000 0.0000 0.0000  6 O 3.08-3.09
Al: 0.3206 0.6794 0.5000  6 O 1.89-1.94
Re: 0.6769 0.3231 0.5000  6 O 1.86-1.96
O: 0.3886 0.3947 0.3626  1 Al 1.93, 1 Re 1.96, 1 O 2.10
O: 0.4193 0.0123 0.6695  1 Re 1.87, 1 Al 1.89
O: 0.5845 0.0052 0.3258  1 Re 1.86, 1 Al 1.94
O: 0.6053 0.6114 0.6374  1 Al 1.93, 1 Re 1.96, 1 O 2.10
O: 0.9877 0.5807 0.3305  1 Re 1.87, 1 Al 1.89
O: 0.9948 0.4155 0.6742  1 Re 1.86, 1 Al 1.94

* space group: C2
* raw formation energy: -16.29 eV/f.u.



Please write out number 2 again, unchanged.
CsAlReO6: optimized geometry, PBE-GGA.

Unit cell a=5.2738 b=5.2738 c=6.5403 alpha=90.60 beta=90.60 gamma=121.34
Last column: nearest neighbours and their distance in Å.
Positions (direct):
Cs: 0.0000 0.0000 0.0000  6 O 3.08-3.09
Al: 0.3206 0.6794 0.5000  6 O 1.89-1.94
Re: 0.6769 0.3231 0.5000  6 O 1.86-1.96
O: 0.3886 0.3947 0.3626  1 Al 1.93, 1 Re 1.96, 1 O 2.10
O: 0.4193 0.0123 0.6695  1 Re 1.87, 1 Al 1.89
O: 0.5845 0.0052 0.3258  1 Re 1.86, 1 Al 1.94
O: 0.6053 0.6114 0.6374  1 Al 1.93, 1 Re 1.96, 1 O 2.10
O: 0.9877 0.5807 0.3305  1 Re 1.87, 1 Al 1.89
O: 0.9948 0.4155 0.6742  1 Re 1.86, 1 Al 1.94

* space group: C2
* raw formation energy: -16.29 eV/f.u.



- The highest raw formation energy belongs to which entry?
  CsAlReO6